No. 1
Entry from Alexandria via LeMat-Bulk: PrNd2Cu3 after structural relaxation (GGA-PBE).

Calculated values
DFT total energy: -4.5693 eV/atom
energy above the lowest structure with this stoichiometry: 0.000 eV/atom
volume: 140 Å³ per cell
formation energy from the elements: -0.135 eV/atom
mass density: 7.35 g/cm3

Cell: 3.5914 3.5914 10.8669 Å, 90.00 90.00 90.00°
With the nearest neighbours (Å) after each atom.
Space group P4/mmm (No. 123)
Asymmetric unit:
Pr  0.0000  0.0000  0.0000 [1 per cell]  8 Cu 3.14
Nd  0.0000  0.0000  0.3342 [2 per cell]  8 Cu 3.10-3.11
Cu  0.5000  0.5000  0.1703 [2 per cell]  4 Nd 3.10, 4 Pr 3.14
Cu  0.5000  0.5000  0.5000 [1 per cell]  8 Nd 3.11



No. 2
Entry from Alexandria via LeMat-Bulk: Nd2YPu after structural relaxation (GGA-PBE).

Calculated values
DFT total energy: -7.4616 eV/atom
energy above the lowest structure with this stoichiometry: 0.008 eV/atom
volume: 394 Å³ per cell
formation energy from the elements: 0.121 eV/atom
mass density: 7.85 g/cm3

Cell: 3.6175 3.6175 34.7802 Å, 90.00 90.00 120.00°
With the nearest neighbours (Å) after each atom.
Space group R3m (No. 160, hexagonal axes)
Asymmetric unit:
Nd  0.0000  0.0000  0.0000 [3 per cell]  3 Pu 3.54, 3 Y 3.61, 6 Nd 3.62
Nd  0.0000  0.0000  0.1694 [3 per cell]  3 Pu 3.53, 3 Y 3.61, 6 Nd 3.62
Y  0.0000  0.0000  0.7513 [3 per cell]  6 Nd 3.61, 6 Y 3.62
Pu  0.0000  0.0000  0.5846 [3 per cell]  6 Nd 3.53-3.54, 6 Pu 3.62



No. 3
Entry from Alexandria via LeMat-Bulk: MgCoMo2 after structural relaxation (GGA-PBE).

Calculated values
DFT total energy: -7.3427 eV/atom
volume: 60 Å³ per cell
formation energy from the elements: 0.248 eV/atom
mass density: 7.56 g/cm3

Cell: 2.7139 2.7139 8.2053 Å, 90.00 90.00 90.00°
With the nearest neighbours (Å) after each atom.
Space group P4/mmm (No. 123)
Asymmetric unit:
Mg  0.0000  0.0000  0.0000 [1 per cell]  4 Mg 2.71, 8 Mo 3.01
Co  0.0000  0.0000  0.5000 [1 per cell]  8 Mo 2.62, 4 Co 2.71
Mo  0.5000  0.5000  0.2825 [2 per cell]  4 Co 2.62, 4 Mo 2.71



No. 4
Entry from Alexandria via LeMat-Bulk: Be2NiHg after structural relaxation (GGA-PBE).

Calculated values
DFT total energy: -3.0305 eV/atom
volume: 160 Å³ per cell
formation energy from the elements: 0.353 eV/atom
mass density: 8.65 g/cm3

Cell: 2.7913 2.7913 23.6614 Å, 90.00 90.00 120.00°
With the nearest neighbours (Å) after each atom.
Space group R-3m (No. 166, hexagonal axes)
Asymmetric unit:
Be  0.0000  0.0000  0.2327 [6 per cell]  3 Ni 2.25
Ni  0.0000  0.0000  0.5000 [3 per cell]  6 Be 2.25
Hg  0.0000  0.0000  0.0000 [3 per cell]  6 Hg 2.79, 6 Be 2.87



No. 5
Entry from Alexandria via LeMat-Bulk: Sr3HN after structural relaxation (GGA-PBE).

Calculated values
DFT total energy: -3.3777 eV/atom
energy above the lowest structure with this stoichiometry: 0.414 eV/atom
volume: 144 Å³ per cell
mass density: 3.20 g/cm3

Cell: 5.2463 5.2463 5.2463 Å, 90.00 90.00 90.00°
With the nearest neighbours (Å) after each atom.
Space group Pm-3m (No. 221)
Asymmetric unit:
Sr  0.0000  0.0000  0.5000 [3 per cell]  2 N 2.62
H  0.5000  0.5000  0.5000 [1 per cell]  12 Sr 3.71
N  0.0000  0.0000  0.0000 [1 per cell]  6 Sr 2.62



No. 6
Entry from Alexandria via LeMat-Bulk: Cu2WBr after structural relaxation (GGA-PBE).

Calculated values
DFT total energy: -4.6980 eV/atom
energy above the lowest structure with this stoichiometry: 0.479 eV/atom
volume: 121 Å³ per cell
mass density: 10.69 g/cm3
energy relative to the elements, uncorrected: 1.007 eV per atom

Cell: 3.8589 3.8589 8.1553 Å, 90.00 90.00 90.00°
With the nearest neighbours (Å) after each atom.
Space group I-4m2 (No. 119)
Asymmetric unit:
Cu  0.0000  0.0000  0.0000 [2 per cell]  4 Br 2.73, 4 W 2.81, 4 Cu 2.81
Cu  0.0000  0.5000  0.2500 [2 per cell]  4 W 2.73, 4 Br 2.81, 4 Cu 2.81
W  0.0000  0.5000  0.7500 [2 per cell]  8 Cu 2.73-2.81, 4 Br 2.81
Br  0.0000  0.0000  0.5000 [2 per cell]  8 Cu 2.73-2.81, 4 W 2.81



No. 7
Entry from Alexandria via LeMat-Bulk: NaIn5Sn after structural relaxation (GGA-PBE).

Calculated values
DFT total energy: -2.7195 eV/atom
energy above the lowest structure with this stoichiometry: 0.008 eV/atom
volume: 197 Å³ per cell
formation energy from the elements: -0.003 eV/atom
mass density: 6.02 g/cm3

Cell: 4.6277 4.6277 9.2170 Å, 90.00 90.00 90.00°
With the nearest neighbours (Å) after each atom.
Space group P4/mmm (No. 123)
Asymmetric unit:
Na  0.0000  0.0000  0.0000 [1 per cell]  12 In 3.27-3.39
In  0.0000  0.5000  0.2691 [4 per cell]  2 Sn 3.14, 6 In 3.27-3.39, 2 Na 3.39
In  0.5000  0.5000  0.0000 [1 per cell]  4 Na 3.27, 8 In 3.39
Sn  0.5000  0.5000  0.5000 [1 per cell]  8 In 3.14



No. 8
Entry from Alexandria via LeMat-Bulk: Pu2Pa3Ga after structural relaxation (GGA-PBE).

Calculated values
DFT total energy: -9.6147 eV/atom
volume: 587 Å³ per cell
formation energy from the elements: 0.415 eV/atom
mass density: 14.16 g/cm3

Cell: 8.7989 14.4059 4.6281 Å, 90.00 90.00 90.00°
With the nearest neighbours (Å) after each atom.
Space group Cmcm (No. 63)
Asymmetric unit:
Pu  0.1436  0.0000  0.0000 [8 per cell]  3 Pu 2.31-2.53
Pa  0.0000  0.1744  0.2500 [4 per cell]  2 Ga 2.98, 2 Pa 3.02, 4 Pu 3.04
Pa  0.2096  0.3408  0.2500 [8 per cell]  2 Pu 2.87, 2 Ga 3.00, 1 Pa 3.02
Ga  0.0000  0.3047  0.7500 [4 per cell]  8 Pa 2.98-3.30



No. 9
Entry from Alexandria via LeMat-Bulk: CrPdSeBr2 after structural relaxation (GGA-PBE).

Calculated values
DFT total energy: -4.1248 eV/atom
energy above the lowest structure with this stoichiometry: 0.000 eV/atom
volume: 125 Å³ per cell
mass density: 5.28 g/cm3
energy relative to the elements, uncorrected: 0.205 eV per atom

Cell: 5.1215 5.1215 4.7643 Å, 90.00 90.00 90.00°
With the nearest neighbours (Å) after each atom.
Space group P4/mmm (No. 123)
Asymmetric unit:
Cr  0.0000  0.0000  0.0000 [1 per cell]  2 Se 2.38, 4 Br 2.56
Pd  0.5000  0.5000  0.5000 [1 per cell]  8 Br 3.50, 4 Se 3.62
Se  0.0000  0.0000  0.5000 [1 per cell]  2 Cr 2.38
Br  0.0000  0.5000  0.0000 [2 per cell]  2 Cr 2.56



No. 10
Entry from Alexandria via LeMat-Bulk: Sr2OsF after structural relaxation (GGA-PBE).

Calculated values
DFT total energy: -4.4617 eV/atom
energy above the lowest structure with this stoichiometry: 0.238 eV/atom
volume: 380 Å³ per cell
mass density: 6.71 g/cm3
energy relative to the elements, uncorrected: -0.346 eV per atom

Cell: 7.2458 7.2458 7.2458 Å, 90.00 90.00 90.00°
With the nearest neighbours (Å) after each atom.
Space group Fm-3m (No. 225)
Asymmetric unit:
Sr  0.2500  0.2500  0.2500 [8 per cell]  4 F 3.14, 4 Os 3.14
Os  0.0000  0.0000  0.0000 [4 per cell]  8 Sr 3.14
F  0.0000  0.0000  0.5000 [4 per cell]  8 Sr 3.14



No. 11
Entry from Alexandria via LeMat-Bulk: CsLaAs2Pt4 after structural relaxation (GGA-PBE).

Calculated values
DFT total energy: -5.5418 eV/atom
volume: 201 Å³ per cell
formation energy from the elements: -0.636 eV/atom
mass density: 9.93 g/cm3

Cell: 4.1058 4.1058 11.9275 Å, 90.00 90.00 90.00°
With the nearest neighbours (Å) after each atom.
Space group P4/mmm (No. 123)
Asymmetric unit:
Cs  0.0000  0.0000  0.0000 [1 per cell]  8 As 3.72, 4 Cs 4.11
La  0.0000  0.0000  0.5000 [1 per cell]  8 Pt 3.06
As  0.5000  0.5000  0.1950 [2 per cell]  4 Pt 2.47
Pt  0.0000  0.5000  0.3100 [4 per cell]  2 As 2.47



No. 12
Entry from Alexandria via LeMat-Bulk: Nb2ReSb after structural relaxation (GGA-PBE).

Calculated values
DFT total energy: -7.9334 eV/atom
volume: 447 Å³ per cell
mass density: 7.34 g/cm3
energy relative to the elements, uncorrected: 1.244 eV per atom

Cell: 6.1018 6.1018 12.0054 Å, 90.00 90.00 90.00°
With the nearest neighbours (Å) after each atom.
Space group I-42d (No. 122)
Asymmetric unit:
Nb  0.2082  0.2500  0.1250 [8 per cell]  2 Re 2.49, 2 Sb 2.78
Re  0.0000  0.0000  0.0000 [4 per cell]  4 Nb 2.49
Sb  0.0000  0.0000  0.5000 [4 per cell]  4 Nb 2.78